# 1
The following is a PBE calculation of a geometry-optimized MnSbP2 structure, from Alexandria via LeMat-Bulk.

Properties
**Formation energy from raw total energies**: 5.09 kcal/mol of atoms
**Magnetization**: 2.7 μB/f.u.
**Crystal system**: monoclinic
**Mass density**: 5.516 g/cm3
**DFT total energy**: -5.8073 eV per atom

Lattice parameters (Å, degrees): 4.0161 4.3552 4.2005 90.00 102.07 90.00
Closest atoms and distances in Å follow each position.
Fractional positions:
Mn  0.0000  0.0000  0.0000  4 P 2.40-2.67
Sb  0.7159  0.5000  0.2611  3 P 2.60-2.74, 2 Mn 2.79
P  0.1452  0.5000  0.8317  2 Mn 2.40, 2 Sb 2.60-2.64, 2 P 2.62
P  0.3827  0.0000  0.6101  3 Mn 2.47-2.70, 2 P 2.62



# 2
The following is a PBE calculation of a geometry-optimized Be3SnPt structure, from Alexandria via LeMat-Bulk.

Properties
**Magnetization**: 0.0 μB/f.u.
**Crystal system**: cubic
**E_form**: 28.17 kcal/mol of atoms
**Mass density**: 6.381 g/cm3
**DFT total energy**: -3.0230 eV per atom

Lattice parameters (Å, degrees): 4.4597 4.4597 4.4597 90.00 90.00 90.00
Closest atoms and distances in Å follow each position.
Fractional positions:
Be  0.0000  0.0000  0.5000  2 Sn 2.23
Be  0.0000  0.5000  0.0000  2 Sn 2.23
Be  0.5000  0.0000  0.0000  2 Sn 2.23
Sn  0.0000  0.0000  0.0000  6 Be 2.23
Pt  0.5000  0.5000  0.5000  12 Be 3.15



# 3
The following is a PBE calculation of a geometry-optimized ReCI3 structure, from Alexandria via LeMat-Bulk.

Properties
**Formation energy from raw total energies**: 52.88 kcal/mol of atoms
**Magnetization**: 0.0 μB/f.u.
**Crystal system**: cubic
**Mass density**: 8.779 g/cm3
**DFT total energy**: -2.9713 eV per atom

Lattice parameters (Å, degrees): 4.7843 4.7843 4.7843 90.00 90.00 90.00
Closest atoms and distances in Å follow each position.
Fractional positions:
Re  0.0000  0.0000  0.0000  12 I 3.38
C  0.5000  0.5000  0.5000  6 I 2.39
I  0.0000  0.5000  0.5000  2 C 2.39
I  0.5000  0.0000  0.5000  2 C 2.39
I  0.5000  0.5000  0.0000  2 C 2.39



# 4
The following is a PBE calculation of a geometry-optimized TbNd2IO8 structure, from Alexandria via LeMat-Bulk.

Properties
**Formation energy from raw total energies**: -51.91 kcal/mol of atoms
**Magnetization**: 0.0 μB/f.u.
**Crystal system**: monoclinic
**Mass density**: 6.248 g/cm3
**DFT total energy**: -6.8662 eV per atom

Lattice parameters (Å, degrees): 5.1704 6.9808 5.1723 90.00 91.01 90.00
Closest atoms and distances in Å follow each position.
Fractional positions:
Tb  0.0000  0.0000  0.0000  6 O 2.20-2.43
Nd  0.5000  0.2514  0.5000  6 O 2.26-2.45
Nd  0.5000  0.7486  0.5000  6 O 2.26-2.45
I  0.0000  0.5000  0.0000  6 O 1.89-1.93
O  0.1748  0.2949  0.8243  1 I 1.93
O  0.1748  0.7051  0.8243  1 I 1.93
O  0.2612  0.5000  0.2598  1 I 1.89
O  0.3041  0.0000  0.3035  1 Tb 2.20, 2 Nd 2.26
O  0.6959  0.0000  0.6965  1 Tb 2.20, 2 Nd 2.26
O  0.7388  0.5000  0.7402  1 I 1.89
O  0.8252  0.2949  0.1757  1 I 1.93
O  0.8252  0.7051  0.1757  1 I 1.93



# 5
The following is a PBE calculation of a geometry-optimized InFe2Sb2 structure, from Alexandria via LeMat-Bulk.

Properties
**Formation energy from raw total energies**: 8.42 kcal/mol of atoms
**Magnetization**: 0.0 μB/f.u.
**Crystal system**: tetragonal
**Mass density**: 7.553 g/cm3
**DFT total energy**: -5.2166 eV per atom

Lattice parameters (Å, degrees): 4.3672 4.3672 10.8369 90.00 90.00 90.00
Closest atoms and distances in Å follow each position.
Fractional positions:
In  0.0000  0.0000  0.0000  8 Sb 3.43, 8 Fe 3.48
In  0.5000  0.5000  0.5000  8 Sb 3.43, 8 Fe 3.48
Fe  0.0000  0.5000  0.2500  4 Sb 2.50
Fe  0.0000  0.5000  0.7500  4 Sb 2.50
Fe  0.5000  0.0000  0.2500  4 Sb 2.50
Fe  0.5000  0.0000  0.7500  4 Sb 2.50
Sb  0.0000  0.0000  0.3615  4 Fe 2.50
Sb  0.0000  0.0000  0.6385  4 Fe 2.50
Sb  0.5000  0.5000  0.1385  4 Fe 2.50
Sb  0.5000  0.5000  0.8615  4 Fe 2.50



# 6
The following is a PBE calculation of a geometry-optimized GaAgPbF2 structure, from Alexandria via LeMat-Bulk.

Properties
**Formation energy from raw total energies**: -23.90 kcal/mol of atoms
**Magnetization**: 0.0 μB/f.u.
**Crystal system**: tetragonal
**Mass density**: 7.223 g/cm3
**DFT total energy**: -3.7024 eV per atom

Lattice parameters (Å, degrees): 4.0915 4.0915 5.8066 90.00 90.00 90.00
Closest atoms and distances in Å follow each position.
Fractional positions:
Ga  0.0000  0.0000  0.0000  4 F 2.05
Ag  0.5000  0.5000  0.5000  4 Pb 2.89
Pb  0.0000  0.0000  0.5000  4 Ag 2.89, 2 Ga 2.90
F  0.0000  0.5000  0.0000  2 Ga 2.05
F  0.5000  0.0000  0.0000  2 Ga 2.05



# 7
The following is a PBE calculation of a geometry-optimized Ta2HgOs structure, from Alexandria via LeMat-Bulk.

Properties
**Magnetization**: 0.0 μB/f.u.
**Crystal system**: monoclinic
**E_form**: 4.62 kcal/mol of atoms
**Mass density**: 17.599 g/cm3
**DFT total energy**: -8.6091 eV per atom

Lattice parameters (Å, degrees): 2.9846 4.6220 5.1853 90.00 96.83 90.00
Closest atoms and distances in Å follow each position.
Fractional positions:
Ta  0.0000  0.0000  0.0000  1 Os 2.56
Ta  0.1855  0.5000  0.6753  4 Os 2.73-2.96, 3 Hg 2.80-2.92, 4 Ta 2.95-2.98
Hg  0.5687  0.5000  0.1951  7 Ta 2.80-2.97, 2 Os 2.92, 2 Hg 2.98
Os  0.5831  0.0000  0.5396  3 Ta 2.56-2.73



# 8
The following is a PBE calculation of a geometry-optimized CsNp2I8 structure, from Alexandria via LeMat-Bulk.

Properties
**Formation energy from raw total energies**: -19.32 kcal/mol of atoms
**Magnetization**: 7.0 μB/f.u.
**Crystal system**: trigonal
**Mass density**: 4.015 g/cm3
**DFT total energy**: -4.3955 eV per atom

Lattice parameters (Å, degrees): 11.2177 11.2177 6.1554 90.00 90.00 120.00
Closest atoms and distances in Å follow each position.
Fractional positions:
Cs  0.0000  0.0000  0.0000  6 I 3.94
Np  0.3333  0.6667  0.2666  5 I 2.93-3.13
Np  0.6667  0.3333  0.7334  5 I 2.93-3.13
I  0.1812  0.8164  0.2779  1 Np 2.93
I  0.1836  0.3648  0.2779  1 Np 2.93
I  0.3333  0.6667  0.7756  2 Np 3.02-3.13
I  0.3648  0.1812  0.7221  1 Np 2.93
I  0.6352  0.8188  0.2779  1 Np 2.93
I  0.6667  0.3333  0.2244  2 Np 3.02-3.13
I  0.8164  0.6352  0.7221  1 Np 2.93
I  0.8188  0.1836  0.7221  1 Np 2.93



The lowest DFT total energy belongs to which entry?
Ta2HgOs